Entry from the Alexandria database: a relaxed structure of Tb2GeSe (PBE-GGA).

Properties
Offset from the most stable computed form: 48 kJ/mol of formula units
Formation energy (no corrections): -1273 meV/atom
Spin magnetization: 0.00 Bohr magnetons per cell
Total DFT energy (no corrections): -0.2063 hartree per atom

extended XYZ file:
```
8
Lattice="7.020 0.000 0.000 0.000 7.111 0.000 0.000 0.000 4.041" Properties=species:S:1:pos:R:3 pbc="T T T"
Tb 1.716 1.226 0.000
Tb 1.794 4.782 2.021
Tb 5.226 2.329 2.021
Tb 5.304 5.884 0.000
Ge 0.000 0.000 2.021
Ge 3.510 3.555 0.000
Se 0.000 3.555 0.000
Se 3.510 0.000 2.021
```